No. 1
Cs2KAu7 after structural relaxation. Source: OQMD via LeMat-Bulk, functional PBE.

```
Cs2KAu7
1.0
1.412 0.783 -7.215
-6.106 -1.326 3.951
-1.235 7.342 0.555
Au Cs K
7 2 1
direct
0.500 0.000 0.000
0.000 0.500 0.000
0.606 0.394 0.192
0.394 0.606 0.192
0.500 0.500 0.500
0.606 0.394 0.808
0.394 0.606 0.808
0.840 0.160 0.500
0.160 0.840 0.500
0.000 0.000 0.000
```

Summary:
energy = -28.56 eV per cell

***

No. 2
La2CdO4 after structural relaxation. Source: OQMD via LeMat-Bulk, functional PBE.

```
La2CdO4
1.0
-5.984 -0.682 3.735
0.142 -1.867 -6.836
3.448 -3.899 4.810
Cd La O
2 4 8
direct
0.000 0.000 0.000
0.750 0.500 0.250
0.375 0.750 0.125
0.875 0.250 0.625
0.375 0.250 0.625
0.375 0.750 0.625
0.616 0.232 0.384
0.152 0.768 0.384
0.616 0.768 0.384
0.134 0.268 0.402
0.616 0.232 0.848
0.134 0.732 0.866
0.598 0.732 0.866
0.134 0.268 0.866
```

Summary:
energy = -97.55 eV per cell

***

No. 3
K3PrP2O8 after structural relaxation. Source: OQMD via LeMat-Bulk, functional PBE.

```
K3PrP2O8
1.0
-7.297 0.350 1.237
0.272 -4.767 2.953
1.712 5.016 7.939
K O P Pr
6 16 4 2
direct
0.365 0.250 0.095
0.491 0.750 0.310
0.801 0.250 0.417
0.199 0.750 0.583
0.509 0.250 0.690
0.635 0.750 0.905
0.006 0.250 0.059
0.287 0.750 0.075
0.738 0.024 0.156
0.738 0.476 0.156
0.158 0.025 0.342
0.158 0.475 0.342
0.444 0.250 0.400
0.819 0.750 0.429
0.181 0.250 0.571
0.556 0.750 0.600
0.842 0.525 0.658
0.842 0.975 0.658
0.262 0.524 0.844
0.262 0.976 0.844
0.713 0.250 0.925
0.994 0.750 0.941
0.798 0.250 0.075
0.238 0.250 0.415
0.762 0.750 0.585
0.202 0.750 0.925
0.992 0.750 0.206
0.008 0.250 0.794
```

Summary:
energy = -188.85 eV per cell

***

No. 4
Nd2CuSi after structural relaxation. Source: OQMD via LeMat-Bulk, functional PBE.

```
Nd2CuSi
1.0
4.139 0.000 0.000
0.000 7.755 0.000
0.000 0.000 5.996
Cu Nd Si
2 4 2
direct
0.500 0.726 0.097
0.000 0.274 0.597
0.000 0.441 0.145
0.000 0.910 0.380
0.500 0.559 0.645
0.500 0.090 0.880
0.500 0.203 0.378
0.000 0.797 0.878
```

Summary:
energy = -40.97 eV per cell

***

No. 5
RbPdBr3 after structural relaxation. Source: OQMD via LeMat-Bulk, functional PBE.

```
RbPdBr3
1.0
4.930 -0.812 5.517
3.936 5.725 -2.668
-7.227 0.855 1.560
Br Pd Rb
6 2 2
direct
0.750 0.250 0.000
0.250 0.250 0.000
0.750 0.750 0.000
0.250 0.750 0.000
0.250 0.250 0.500
0.750 0.750 0.500
0.000 0.000 0.000
0.500 0.500 0.000
0.750 0.250 0.500
0.250 0.750 0.500
```

Summary:
energy = -31.22 eV per cell

***

No. 6
NpHgPd6 after structural relaxation. Source: OQMD via LeMat-Bulk, functional PBE.

```
NpHgPd6
1.0
4.097 0.000 0.000
0.000 4.097 0.000
0.000 0.000 8.145
Hg Np Pd
1 1 6
direct
0.000 0.000 0.000
0.000 0.000 0.500
0.500 0.500 0.000
0.500 0.000 0.255
0.000 0.500 0.255
0.500 0.500 0.500
0.500 0.000 0.745
0.000 0.500 0.745
```

Summary:
formation energy from the elements = -0.360 eV/atom